Here is crystalline FeOs2Br at its relaxed geometry from Alexandria via LeMat-Bulk. Energies are from PBE. Values from VASP.

The structure in Quantum ESPRESSO input format:
```
&SYSTEM
  ibrav = 0, nat = 4, ntyp = 3
/
ATOMIC_SPECIES
Br 79.90 Br.upf
Fe 55.84 Fe.upf
Os 190.23 Os.upf
ATOMIC_POSITIONS angstrom
Br -0.753 1.075 4.380
Fe -1.059 1.843 2.087
Os 0.650 -1.764 6.508
Os -2.119 3.383 7.910
CELL_PARAMETERS angstrom
-0.509 3.967 1.647
-3.089 2.609 1.537
0.845 -2.131 6.444
```

crystal system = monoclinic
formation energy from raw total energies = 0.828 eV per atom
uncorrected energy = -29.28 eV for the cell shown